This record from Alexandria via LeMat-Bulk describes a geometry-optimized Sr3HfCr2O9 structure. The functional is GGA+U.

a b c (Å): 5.5925 5.5925 6.9020
angles (deg): 90.00 90.00 120.00
With the nearest neighbours (Å) after each atom.
Positions (direct):
Sr 0.3333 0.6667 0.6810  12 O 2.73-2.91
Sr 0.0000 0.0000 0.0000  12 O 2.80
Sr 0.6667 0.3333 0.3190  12 O 2.73-2.91
Hf 0.0000 0.0000 0.5000  6 O 2.06
Cr 0.3333 0.6667 0.1636  6 O 1.92-1.97
Cr 0.6667 0.3333 0.8364  6 O 1.92-1.97
O 0.8280 0.1720 0.6744  1 Cr 1.92, 1 Hf 2.06
O 0.8280 0.6561 0.6744  1 Cr 1.92, 1 Hf 2.06
O 0.3439 0.1720 0.6744  1 Cr 1.92, 1 Hf 2.06
O 0.6561 0.8280 0.3256  1 Cr 1.92, 1 Hf 2.06
O 0.1720 0.3439 0.3256  1 Cr 1.92, 1 Hf 2.06
O 0.1720 0.8280 0.3256  1 Cr 1.92, 1 Hf 2.06
O 0.5000 0.0000 0.0000  2 Cr 1.97
O 0.0000 0.5000 0.0000  2 Cr 1.97
O 0.5000 0.5000 0.0000  2 Cr 1.97

Summary:
- calculated total energy (eV per atom) = -7.5525